Record 1
This record from Alexandria via LeMat-Bulk describes a relaxed structure of Na2TlBCl. The functional is PBEsol.

Unit cell a=5.410 b=5.410 c=4.110 alpha=90.00 beta=90.00 gamma=90.00
Element x y z (fractional)
Na 0.000 0.500 0.000
Na 0.500 0.000 0.000
Tl 0.000 0.000 0.500
B 0.000 0.000 0.000
Cl 0.500 0.500 0.500

- DFT total energy (eV per cell) = -14.756
- E_form (uncorrected) (eV per atom) = -0.06

=====

Record 2
This record from Alexandria via LeMat-Bulk describes a relaxed structure of Ni3B7ClO13. The functional is PBEsol.

Unit cell a=8.472 b=8.471 c=11.974 alpha=90.00 beta=90.00 gamma=90.00
Element x y z (fractional)
Ni 0.020 0.035 0.000
Ni 0.022 0.463 0.998
Ni 0.245 0.251 0.282
Ni 0.255 0.251 0.782
Ni 0.478 0.463 0.498
Ni 0.480 0.035 0.500
Ni 0.520 0.965 0.000
Ni 0.522 0.537 0.998
Ni 0.745 0.749 0.282
Ni 0.755 0.749 0.782
Ni 0.978 0.537 0.498
Ni 0.980 0.965 0.500
B 0.001 0.998 0.252
B 0.002 0.497 0.751
B 0.047 0.750 0.152
B 0.093 0.750 0.679
B 0.245 0.746 0.005
B 0.247 0.904 0.832
B 0.249 0.596 0.831
B 0.251 0.596 0.331
B 0.253 0.904 0.332
B 0.255 0.746 0.505
B 0.407 0.750 0.179
B 0.453 0.750 0.652
B 0.498 0.497 0.251
B 0.499 0.998 0.752
B 0.501 0.002 0.252
B 0.502 0.503 0.751
B 0.547 0.250 0.152
B 0.593 0.250 0.679
B 0.745 0.254 0.005
B 0.747 0.096 0.832
B 0.749 0.404 0.831
B 0.751 0.404 0.331
B 0.753 0.096 0.332
B 0.755 0.254 0.505
B 0.907 0.250 0.179
B 0.953 0.250 0.652
B 0.998 0.503 0.251
B 0.999 0.002 0.752
Cl 0.187 0.249 0.972
Cl 0.313 0.249 0.472
Cl 0.687 0.751 0.972
Cl 0.813 0.751 0.472
O 0.036 0.336 0.233
O 0.039 0.588 0.146
O 0.041 0.170 0.730
O 0.050 0.911 0.655
O 0.085 0.561 0.348
O 0.085 0.953 0.852
O 0.120 0.833 0.067
O 0.140 0.669 0.578
O 0.169 0.023 0.271
O 0.169 0.625 0.936
O 0.171 0.473 0.770
O 0.173 0.863 0.436
O 0.234 0.751 0.761
O 0.266 0.751 0.261
O 0.327 0.863 0.936
O 0.329 0.473 0.270
O 0.331 0.023 0.771
O 0.331 0.625 0.436
O 0.360 0.669 0.078
O 0.380 0.833 0.567
O 0.415 0.561 0.848
O 0.415 0.953 0.352
O 0.450 0.911 0.155
O 0.459 0.170 0.230
O 0.461 0.588 0.646
O 0.464 0.336 0.733
O 0.536 0.664 0.233
O 0.539 0.412 0.146
O 0.541 0.830 0.730
O 0.550 0.089 0.655
O 0.585 0.047 0.852
O 0.585 0.439 0.348
O 0.620 0.167 0.067
O 0.640 0.331 0.578
O 0.669 0.375 0.936
O 0.669 0.977 0.271
O 0.671 0.527 0.770
O 0.673 0.137 0.436
O 0.734 0.249 0.761
O 0.766 0.249 0.261
O 0.827 0.137 0.936
O 0.829 0.527 0.270
O 0.831 0.375 0.436
O 0.831 0.977 0.771
O 0.860 0.331 0.078
O 0.880 0.167 0.567
O 0.915 0.047 0.352
O 0.915 0.439 0.848
O 0.950 0.089 0.155
O 0.959 0.830 0.230
O 0.961 0.412 0.646
O 0.964 0.664 0.733

- DFT total energy (eV per cell) = -738.815
- E_form (uncorrected) (eV per atom) = -1.95

=====

Record 3
This record from Alexandria via LeMat-Bulk describes a relaxed structure of BClO2. The functional is PBEsol.

Unit cell a=3.757 b=3.757 c=3.757 alpha=60.00 beta=60.00 gamma=60.00
Element x y z (fractional)
B 0.000 0.000 0.000
Cl 0.500 0.500 0.500
O 0.250 0.250 0.250
O 0.750 0.750 0.750

- DFT total energy (eV per cell) = -12.459
- ΔE to the lowest computed polymorph (eV per formula unit) = 8.89
- E_form (uncorrected) (eV per atom) = 1.77

=====

Record 4
This record from Alexandria via LeMat-Bulk describes a relaxed structure of BClO2. The functional is PBEsol.

Unit cell a=8.839 b=8.839 c=8.839 alpha=18.18 beta=18.18 gamma=18.18
Element x y z (fractional)
B 0.000 0.000 0.000
Cl 0.500 0.500 0.500
O 0.049 0.049 0.049
O 0.951 0.951 0.951

- DFT total energy (eV per cell) = -21.349
- ΔE to the lowest computed polymorph (eV per formula unit) = 0.00
- E_form (uncorrected) (eV per atom) = -0.46

=====

Record 5
This record from Alexandria via LeMat-Bulk describes a relaxed structure of B5Pb2ClO9. The functional is PBEsol.

Unit cell a=11.376 b=11.394 c=6.570 alpha=90.00 beta=90.00 gamma=90.00
Element x y z (fractional)
B 0.001 0.245 0.000
B 0.176 0.228 0.224
B 0.199 0.315 0.873
B 0.220 0.711 0.057
B 0.231 0.539 0.832
B 0.269 0.039 0.332
B 0.280 0.211 0.557
B 0.301 0.815 0.373
B 0.324 0.728 0.724
B 0.499 0.745 0.500
B 0.501 0.255 0.500
B 0.676 0.272 0.724
B 0.699 0.185 0.373
B 0.720 0.789 0.557
B 0.731 0.961 0.332
B 0.769 0.461 0.832
B 0.780 0.289 0.057
B 0.801 0.685 0.873
B 0.824 0.772 0.224
B 0.999 0.755 0.000
Pb 0.041 0.747 0.524
Pb 0.241 0.978 0.852
Pb 0.259 0.478 0.352
Pb 0.459 0.247 0.024
Pb 0.541 0.753 0.024
Pb 0.741 0.522 0.352
Pb 0.759 0.022 0.852
Pb 0.959 0.253 0.524
Cl 0.000 0.000 0.650
Cl 0.000 0.500 0.411
Cl 0.500 0.000 0.911
Cl 0.500 0.500 0.150
O 0.048 0.214 0.184
O 0.071 0.287 0.847
O 0.117 0.770 0.961
O 0.180 0.258 0.441
O 0.209 0.581 0.024
O 0.223 0.426 0.772
O 0.225 0.320 0.094
O 0.229 0.724 0.276
O 0.236 0.117 0.181
O 0.264 0.617 0.681
O 0.271 0.224 0.776
O 0.275 0.820 0.594
O 0.277 0.926 0.272
O 0.291 0.081 0.524
O 0.320 0.758 0.941
O 0.383 0.270 0.461
O 0.429 0.787 0.347
O 0.452 0.714 0.684
O 0.548 0.286 0.684
O 0.571 0.213 0.347
O 0.617 0.730 0.461
O 0.680 0.242 0.941
O 0.709 0.919 0.524
O 0.723 0.074 0.272
O 0.725 0.180 0.594
O 0.729 0.776 0.776
O 0.736 0.383 0.681
O 0.764 0.883 0.181
O 0.771 0.276 0.276
O 0.775 0.680 0.094
O 0.777 0.574 0.772
O 0.791 0.419 0.024
O 0.820 0.742 0.441
O 0.883 0.230 0.961
O 0.929 0.713 0.847
O 0.952 0.786 0.184

- DFT total energy (eV per cell) = -517.592
- E_form (uncorrected) (eV per atom) = -2.18

=====

Record 6
This record from Alexandria via LeMat-Bulk describes a relaxed structure of PrB2ClO4. The functional is PBEsol.

Unit cell a=4.212 b=6.531 c=8.008 alpha=82.70 beta=89.14 gamma=72.17
Element x y z (fractional)
Pr 0.210 0.033 0.222
Pr 0.790 0.967 0.778
B 0.170 0.347 0.850
B 0.433 0.437 0.196
B 0.567 0.563 0.804
B 0.830 0.653 0.150
Cl 0.149 0.199 0.545
Cl 0.851 0.801 0.455
O 0.093 0.462 0.179
O 0.162 0.151 0.921
O 0.367 0.766 0.788
O 0.486 0.370 0.816
O 0.514 0.630 0.184
O 0.633 0.234 0.212
O 0.838 0.849 0.079
O 0.907 0.538 0.821

- DFT total energy (eV per cell) = -127.441
- E_form (uncorrected) (eV per atom) = -2.69

=====

Record 7
This record from Alexandria via LeMat-Bulk describes a relaxed structure of Sr2B5ClO9. The functional is PBEsol.

Unit cell a=11.321 b=11.414 c=6.499 alpha=90.00 beta=90.00 gamma=90.00
Element x y z (fractional)
Sr 0.046 0.248 0.000
Sr 0.242 0.473 0.336
Sr 0.258 0.973 0.836
Sr 0.454 0.748 0.500
Sr 0.546 0.252 0.500
Sr 0.742 0.027 0.836
Sr 0.758 0.527 0.336
Sr 0.954 0.752 0.000
B 0.005 0.750 0.465
B 0.177 0.728 0.694
B 0.206 0.812 0.340
B 0.217 0.206 0.523
B 0.237 0.036 0.299
B 0.263 0.536 0.799
B 0.283 0.706 0.023
B 0.294 0.312 0.840
B 0.323 0.228 0.194
B 0.495 0.250 0.965
B 0.505 0.750 0.965
B 0.677 0.772 0.194
B 0.706 0.688 0.840
B 0.717 0.294 0.023
B 0.737 0.464 0.799
B 0.763 0.964 0.299
B 0.783 0.794 0.523
B 0.794 0.188 0.340
B 0.823 0.272 0.694
B 0.995 0.250 0.465
Cl 0.000 0.000 0.901
Cl 0.000 0.500 0.149
Cl 0.500 0.000 0.649
Cl 0.500 0.500 0.401
O 0.048 0.720 0.653
O 0.078 0.788 0.310
O 0.112 0.262 0.418
O 0.183 0.756 0.912
O 0.210 0.075 0.492
O 0.221 0.220 0.745
O 0.233 0.614 0.645
O 0.233 0.817 0.562
O 0.236 0.922 0.237
O 0.264 0.422 0.737
O 0.267 0.114 0.145
O 0.267 0.317 0.062
O 0.279 0.720 0.245
O 0.290 0.575 0.992
O 0.317 0.256 0.412
O 0.388 0.762 0.918
O 0.422 0.288 0.810
O 0.452 0.220 0.153
O 0.548 0.780 0.153
O 0.578 0.712 0.810
O 0.612 0.238 0.918
O 0.683 0.744 0.412
O 0.710 0.425 0.992
O 0.721 0.280 0.245
O 0.733 0.683 0.062
O 0.733 0.886 0.145
O 0.736 0.578 0.737
O 0.764 0.078 0.237
O 0.767 0.183 0.562
O 0.767 0.386 0.645
O 0.779 0.780 0.745
O 0.790 0.925 0.492
O 0.817 0.244 0.912
O 0.888 0.738 0.418
O 0.922 0.212 0.310
O 0.952 0.280 0.653

- DFT total energy (eV per cell) = -535.940
- E_form (uncorrected) (eV per atom) = -2.70

=====

Record 8
This record from Alexandria via LeMat-Bulk describes a relaxed structure of Tb4BClO7. The functional is PBEsol.

Unit cell a=8.581 b=8.002 c=12.258 alpha=90.00 beta=120.63 gamma=90.00
Element x y z (fractional)
Tb 0.073 0.139 0.421
Tb 0.073 0.361 0.921
Tb 0.077 0.618 0.410
Tb 0.077 0.882 0.910
Tb 0.298 0.125 0.780
Tb 0.298 0.375 0.280
Tb 0.319 0.614 0.781
Tb 0.319 0.886 0.281
Tb 0.681 0.114 0.719
Tb 0.681 0.386 0.219
Tb 0.702 0.625 0.720
Tb 0.702 0.875 0.220
Tb 0.923 0.118 0.090
Tb 0.923 0.382 0.590
Tb 0.927 0.639 0.079
Tb 0.927 0.861 0.579
B 0.368 0.131 0.086
B 0.368 0.369 0.586
B 0.632 0.631 0.414
B 0.632 0.869 0.914
Cl 0.384 0.650 0.032
Cl 0.384 0.850 0.532
Cl 0.616 0.150 0.468
Cl 0.616 0.350 0.968
O 0.039 0.122 0.596
O 0.039 0.378 0.096
O 0.072 0.621 0.593
O 0.072 0.879 0.093
O 0.179 0.118 0.282
O 0.179 0.382 0.782
O 0.191 0.637 0.274
O 0.191 0.863 0.774
O 0.275 0.111 0.957
O 0.275 0.389 0.457
O 0.382 0.209 0.633
O 0.382 0.291 0.133
O 0.434 0.504 0.666
O 0.434 0.996 0.166
O 0.566 0.004 0.834
O 0.566 0.496 0.334
O 0.618 0.709 0.867
O 0.618 0.791 0.367
O 0.725 0.611 0.543
O 0.725 0.889 0.043
O 0.809 0.137 0.226
O 0.809 0.363 0.726
O 0.821 0.618 0.218
O 0.821 0.882 0.718
O 0.928 0.121 0.907
O 0.928 0.379 0.407
O 0.961 0.622 0.904
O 0.961 0.878 0.404

- DFT total energy (eV per cell) = -437.109
- E_form (uncorrected) (eV per atom) = -3.34

=====

Record 9
This record from Alexandria via LeMat-Bulk describes a relaxed structure of BPOsCl2. The functional is PBEsol.

Unit cell a=4.054 b=4.054 c=4.145 alpha=90.00 beta=90.00 gamma=90.00
Element x y z (fractional)
B 0.000 0.000 0.000
P 0.000 0.000 0.500
Os 0.500 0.500 0.500
Cl 0.000 0.500 0.000
Cl 0.500 0.000 0.000

- DFT total energy (eV per cell) = -22.329
- E_form (uncorrected) (eV per atom) = 1.34

=====

Record 10
This record from Alexandria via LeMat-Bulk describes a relaxed structure of RbB2OsCl. The functional is PBEsol.

Unit cell a=4.141 b=4.141 c=5.258 alpha=90.00 beta=90.00 gamma=90.00
Element x y z (fractional)
Rb 0.000 0.000 0.000
B 0.000 0.500 0.500
B 0.500 0.000 0.500
Os 0.500 0.500 0.500
Cl 0.500 0.500 0.000

- DFT total energy (eV per cell) = -27.663
- E_form (uncorrected) (eV per atom) = 0.32

=====

Record 11
This record from Alexandria via LeMat-Bulk describes a relaxed structure of BOsRu2Cl. The functional is PBEsol.

Unit cell a=4.098 b=4.098 c=4.093 alpha=90.00 beta=90.00 gamma=90.00
Element x y z (fractional)
B 0.000 0.000 0.000
Os 0.000 0.000 0.500
Ru 0.000 0.500 0.000
Ru 0.500 0.000 0.000
Cl 0.500 0.500 0.500

- DFT total energy (eV per cell) = -36.312
- E_form (uncorrected) (eV per atom) = 1.05

=====

Record 12
This record from Alexandria via LeMat-Bulk describes a relaxed structure of TiBOsCl2. The functional is PBEsol.

Unit cell a=4.106 b=4.106 c=4.489 alpha=90.00 beta=90.00 gamma=90.00
Element x y z (fractional)
Ti 0.000 0.000 0.000
B 0.500 0.500 0.500
Os 0.500 0.500 0.000
Cl 0.000 0.500 0.500
Cl 0.500 0.000 0.500

- DFT total energy (eV per cell) = -26.477
- E_form (uncorrected) (eV per atom) = 1.02

=====

Record 13
This record from Alexandria via LeMat-Bulk describes a relaxed structure of BP2PtCl. The functional is PBEsol.

Unit cell a=4.543 b=4.543 c=5.095 alpha=90.00 beta=90.00 gamma=90.00
Element x y z (fractional)
B 0.000 0.000 0.000
P 0.000 0.500 0.500
P 0.500 0.000 0.500
Pt 0.500 0.500 0.500
Cl 0.500 0.500 0.000

- DFT total energy (eV per cell) = -20.578
- ΔE to the lowest computed polymorph (eV per formula unit) = 3.05
- E_form (uncorrected) (eV per atom) = 1.40